(1)
Compound: Tb2Y5Er3
Source: Alexandria via LeMat-Bulk
Functional: PBE
Structure: optimized geometry

Values from the calculation:
The magnetic moment comes out at 0.00 Bohr magnetons per cell. Its density of states at the Fermi level is 1.8250 states/eV per atom. The volume is 1312 Å³ per cell. As for the total DFT energy (no corrections): -5.33 eV per atom. As for the crystal system: monoclinic.

Cell: 10.6824 15.9141 9.3771 Å, 90.00 124.63 90.00°
Space group C2/c (No. 15)
Inequivalent atoms, fractional coordinates:
1 Tb 0.1435 0.1208 0.0449 x8
2 Y 0.0000 0.2310 0.2500 x4
3 Y 0.0000 0.2714 0.7500 x4
4 Y 0.0000 0.4705 0.7500 x4
5 Y 0.2425 0.3868 0.2365 x8
6 Er 0.0000 0.0285 0.2500 x4
7 Er 0.1535 0.3806 0.5486 x8

---

(2)
Compound: TbPm3Ho12
Source: Alexandria via LeMat-Bulk
Functional: PBE
Structure: optimized geometry

Values from the calculation:
The magnetic moment comes out at 0.00 Bohr magnetons per cell. Its density of states at the Fermi level is 1.3415 states/eV per atom. The volume is 506 Å³ per cell. As for the total DFT energy (no corrections): -4.59 eV per atom. As for the crystal system: tetragonal.

Cell: 5.0179 5.0179 20.0884 Å, 90.00 90.00 90.00°
Space group P4/mmm (No. 123)
Inequivalent atoms, fractional coordinates:
1 Tb 0.0000 0.0000 0.0000 x1
2 Pm 0.0000 0.0000 0.2494 x2
3 Pm 0.0000 0.0000 0.5000 x1
4 Ho 0.0000 0.5000 0.1239 x4
5 Ho 0.0000 0.5000 0.3746 x4
6 Ho 0.5000 0.5000 0.0000 x1
7 Ho 0.5000 0.5000 0.2490 x2
8 Ho 0.5000 0.5000 0.5000 x1

---

(3)
Compound: La4Sm4Tm
Source: Alexandria via LeMat-Bulk
Functional: PBE
Structure: optimized geometry

Values from the calculation:
The magnetic moment comes out at 0.00 Bohr magnetons per cell. Its density of states at the Fermi level is 1.6527 states/eV per atom. The volume is 627 Å³ per cell. As for the total DFT energy (no corrections): -4.76 eV per atom. As for the crystal system: monoclinic.

Cell: 15.4592 5.2156 8.2188 Å, 90.00 108.86 90.00°
Space group C2/m (No. 12)
Inequivalent atoms, fractional coordinates:
1 La 0.1654 0.0000 0.0013 x4
2 La 0.2207 0.5000 0.3318 x4
3 Sm 0.0547 0.0000 0.3361 x4
4 Sm 0.1093 0.5000 0.6699 x4
5 Tm 0.0000 0.5000 0.0000 x2

---

(4)
Compound: CsBaI2
Source: Alexandria via LeMat-Bulk
Functional: PBE
Structure: optimized geometry

Values from the calculation:
The magnetic moment comes out at 0.00 Bohr magnetons per cell. Its density of states at the Fermi level is 0.6316 states/eV per atom. The volume is 601 Å³ per cell. As for the total DFT energy (no corrections): -2.83 eV per atom. The uncorrected formation energy comes out at -1365 meV/atom. As for the crystal system: trigonal.

Cell: 4.9647 4.9647 28.1625 Å, 90.00 90.00 120.00°
Space group R-3m (No. 166, hexagonal axes)
Inequivalent atoms, fractional coordinates:
1 Cs 0.0000 0.0000 0.0000 x3
2 Ba 0.0000 0.0000 0.5000 x3
3 I 0.0000 0.0000 0.2417 x6

---

(5)
Compound: Ta2Cr2H7
Source: Alexandria via LeMat-Bulk
Functional: PBE
Structure: optimized geometry

Values from the calculation:
The magnetic moment comes out at 0.00 Bohr magnetons per cell. Its density of states at the Fermi level is 0.3564 states/eV per atom. The volume is 198 Å³ per cell. As for the total DFT energy (no corrections): -5.83 eV per atom. As for the crystal system: monoclinic.

Cell: 5.1722 8.4749 4.5287 Å, 90.00 94.78 90.00°
Space group C2/m (No. 12)
Inequivalent atoms, fractional coordinates:
1 Ta 0.0000 0.1839 0.0000 x4
2 Cr 0.1991 0.0000 0.6304 x4
3 H 0.0000 0.5000 0.5000 x2
4 H 0.1159 0.0000 0.2447 x4
5 H 0.2365 0.3007 0.2796 x8

---

(6)
Compound: CsLiCuHg2
Source: Alexandria via LeMat-Bulk
Functional: PBE
Structure: optimized geometry

Values from the calculation:
The magnetic moment comes out at 0.00 Bohr magnetons per cell. Its density of states at the Fermi level is 0.5456 states/eV per atom. The volume is 150 Å³ per cell. As for the total DFT energy (no corrections): -1.51 eV per atom. As for the crystal system: tetragonal.

Cell: 5.3016 5.3016 5.3257 Å, 90.00 90.00 90.00°
Space group P4/mmm (No. 123)
Inequivalent atoms, fractional coordinates:
1 Cs 0.0000 0.0000 0.0000 x1
2 Li 0.5000 0.5000 0.0000 x1
3 Cu 0.5000 0.5000 0.5000 x1
4 Hg 0.0000 0.5000 0.5000 x2

---

(7)
Compound: HoZn7Cu5
Source: Alexandria via LeMat-Bulk
Functional: PBE
Structure: optimized geometry

Values from the calculation:
The magnetic moment comes out at 0.00 Bohr magnetons per cell. Its density of states at the Fermi level is 0.5335 states/eV per atom. The volume is 380 Å³ per cell. As for the total DFT energy (no corrections): -2.80 eV per atom. As for the crystal system: orthorhombic.

Cell: 4.9692 8.7855 8.7028 Å, 90.00 90.00 90.00°
Space group Imm2 (No. 44)
Inequivalent atoms, fractional coordinates:
1 Ho 0.0000 0.0000 0.0000 x2
2 Zn 0.0000 0.0000 0.3508 x2
3 Zn 0.0000 0.0000 0.6571 x2
4 Zn 0.0000 0.2887 0.5080 x4
5 Zn 0.0000 0.3487 0.0145 x4
6 Zn 0.0000 0.5000 0.7265 x2
7 Cu 0.0000 0.5000 0.2891 x2
8 Cu 0.2492 0.2495 0.7605 x8

---

(8)
Compound: Ac3As2O3
Source: Alexandria via LeMat-Bulk
Functional: PBE
Structure: optimized geometry

Values from the calculation:
The magnetic moment comes out at 0.00 Bohr magnetons per cell. Its density of states at the Fermi level is 0.8878 states/eV per atom. The volume is 189 Å³ per cell. As for the total DFT energy (no corrections): -6.37 eV per atom. The uncorrected formation energy comes out at -1811 meV/atom. As for the crystal system: hexagonal.

Cell: 8.0986 8.0986 3.3339 Å, 90.00 90.00 120.00°
Space group P-62m (No. 189)
Inequivalent atoms, fractional coordinates:
1 Ac 0.0000 0.7382 0.0000 x3
2 As 0.3333 0.6667 0.5000 x2
3 O 0.0000 0.1973 0.5000 x3